[1]
Computed, not measured: Sr2CdS after structural relaxation at the GGA-PBE level of DFT.

Structure (extended XYZ):
```
4
Lattice="-0.225 3.553 -2.116 -3.419 0.916 -2.150 -5.173 6.176 6.869" Properties=species:S:1:pos:R:3 pbc="T T T"
S -4.409 5.323 1.301
Cd 0.000 0.000 0.000
Sr -3.870 4.633 4.139
Sr -4.948 6.012 -1.536
```

E   -2.918 eV per atom
Space group   No. 166
DOS at the Fermi energy   3.154 states/eV/cell
Polymorph energy (0 for the lowest one)   0.077 eV/atom
Formation energy without anion corrections   -816 meV/atom

[2]
Computed, not measured: Sr2TbCdS4 after structural relaxation at the GGA-PBE level of DFT.

Structure (extended XYZ):
```
8
Lattice="-1.228 -3.231 2.207 0.255 -4.187 -5.988 6.214 -0.127 3.273" Properties=species:S:1:pos:R:3 pbc="T T T"
Sr 3.235 -2.157 -1.358
Sr 2.493 -1.679 2.740
S 4.389 -4.849 -0.847
S 0.852 -2.695 0.339
S 4.842 -1.201 0.936
S 1.627 -3.112 -3.652
Cd 0.000 0.000 0.000
Tb -0.487 -3.709 -1.890
```

E   -4.827 eV per atom
Space group   No. 10
DOS at the Fermi energy   3.541 states/eV/cell
Formation energy without anion corrections   -1650 meV/atom

| no. | calculated density (g/cm3) |
| --- | --- |
| 1 | 3.5 |
| 2 | 4.8 |